Arrangement A

Below is a relaxed CuNiIr2 crystal, with properties calculated at the GGA-PBEsol level.

For the density of states at the Fermi level, the calculation gives 0.9957 states/eV per atom. The calculation puts the size of the total moment at 0.00 μB per atom.

Lattice parameters (Å, degrees): 3.6735 3.6735 4.5312 113.91 113.91 90.00
Last column: nearest neighbours and their distance in Å.
Sites, in units of the cell vectors:
1 Ir 0.0000 0.0000 0.0000  4 Ni 2.60, 4 Ir 2.61, 4 Cu 2.61
2 Ir 0.7500 0.2500 0.5000  4 Cu 2.60, 4 Ni 2.61, 4 Ir 2.61
3 Ni 0.5000 0.5000 0.0000  8 Ir 2.60-2.61, 4 Cu 2.61
4 Cu 0.2500 0.7500 0.5000  8 Ir 2.60-2.61, 4 Ni 2.61

***

Arrangement B

Below is a relaxed CuNiIr2 crystal, with properties calculated at the GGA-PBEsol level.

For the density of states at the Fermi level, the calculation gives 1.3470 states/eV per atom. The calculation puts the size of the total moment at 0.00 μB per atom.

Lattice parameters (Å, degrees): 2.6525 4.4347 4.5953 99.97 90.00 107.40
Last column: nearest neighbours and their distance in Å.
Sites, in units of the cell vectors:
1 Ir 0.2459 0.4919 0.2462  3 Ni 2.55-2.61, 3 Cu 2.56-2.61, 6 Ir 2.63-2.67
2 Ir 0.7541 0.5081 0.7538  3 Ni 2.55-2.61, 3 Cu 2.56-2.61, 6 Ir 2.63-2.67
3 Ni 0.5000 0.0000 0.0000  6 Ir 2.55-2.61, 2 Ni 2.65, 4 Cu 2.65
4 Cu 0.0000 0.0000 0.5000  6 Ir 2.56-2.61, 2 Cu 2.65, 4 Ni 2.65

***

Arrangement C

Below is a relaxed CuNiIr2 crystal, with properties calculated at the GGA-PBEsol level.

For the density of states at the Fermi level, the calculation gives 1.2897 states/eV per atom. The calculation puts the size of the total moment at 0.01 μB per atom.

Lattice parameters (Å, degrees): 2.6566 2.6566 8.4674 80.97 80.97 60.00
Last column: nearest neighbours and their distance in Å.
Sites, in units of the cell vectors:
1 Ir 0.7536 0.7536 0.7391  3 Ni 2.55, 9 Ir 2.66-2.69
2 Ir 0.9985 0.9985 0.0046  3 Cu 2.63, 9 Ir 2.66-2.69
3 Ni 0.5017 0.5017 0.4949  3 Cu 2.48, 3 Ir 2.55, 6 Ni 2.66
4 Cu 0.2462 0.2462 0.2614  3 Ni 2.48, 3 Ir 2.63, 6 Cu 2.66

***

Which of the structures shown above is the most stable? The most stable is arrangement A.